Material: NaPaBO6
Method: DFT, PBE
State: relaxed

Summary:
- SG: P312 (149)
- Volume: 104.4 Å³/f.u.
- DFT total energy: -61.950 eV for the cell shown
- E_form (uncorrected): -1.6342 eV/atom

Cell: 4.4548 5.2023 5.2023 Å, 120.00 90.00 90.00°
Atoms (fractional coordinates):
O  0.7128  0.0437  0.2870
O  0.7128  0.7130  0.7567
O  0.2872  0.0437  0.7567
O  0.2872  0.2433  0.2870
O  0.7128  0.2433  0.9563
O  0.2872  0.7130  0.9563
Na  0.5000  0.6667  0.3333
B  0.5000  0.0000  0.0000
Pa  0.0000  0.3333  0.6667